(1)
The following is a GGA-PBE calculation of a relaxed structure of TaRuBr2, from Alexandria via LeMat-Bulk.

POSCAR file:
```
TaRuBr2
1.0
-1.6280 2.0675 7.6195
1.6280 -2.0675 7.6195
1.6280 2.0675 -7.6195
Ta Ru Br
1 1 2
Direct
0.0000 0.0000 0.0000
0.5000 0.5000 0.0000
0.1436 0.6436 0.5000
0.8564 0.3564 0.5000
```

**Raw formation energy**: 118 meV per atom
**Size of the total moment**: 0.57 μB per formula unit
**Energy above the lowest structure with this stoichiometry**: 0.359 eV per atom



(2)
The following is a GGA-PBE calculation of a relaxed structure of TaRu2Br, from Alexandria via LeMat-Bulk.

POSCAR file:
```
TaRu2Br
1.0
3.0008 0.0000 0.0000
0.0000 4.4433 0.0000
0.0000 0.0000 4.7801
Ta Ru Br
1 2 1
Direct
0.0000 0.0000 0.0000
0.0000 0.5000 0.5000
0.5000 0.5000 0.0000
0.5000 0.0000 0.5000
```

**Raw formation energy**: 547 meV per atom
**Size of the total moment**: 0.00 μB per formula unit
**Energy above the lowest structure with this stoichiometry**: 0.485 eV per atom



(3)
The following is a GGA-PBE calculation of a relaxed structure of TaRu2Br, from Alexandria via LeMat-Bulk.

POSCAR file:
```
TaRu2Br
1.0
4.6126 0.0000 0.0000
0.0000 4.6126 0.0000
0.0000 0.0000 3.0637
Ta Ru Br
1 2 1
Direct
0.0000 0.0000 0.0000
0.0000 0.5000 0.5000
0.5000 0.0000 0.5000
0.5000 0.5000 0.0000
```

**Raw formation energy**: 609 meV per atom
**Size of the total moment**: 0.00 μB per formula unit
**Energy above the lowest structure with this stoichiometry**: 0.546 eV per atom



(4)
The following is a GGA-PBE calculation of a relaxed structure of TaRu2Br, from Alexandria via LeMat-Bulk.

POSCAR file:
```
TaRu2Br
1.0
1.4741 0.8511 8.8673
-1.4741 0.8511 8.8673
0.0000 -1.7022 8.8673
Ta Ru Br
1 2 1
Direct
0.0000 0.0000 0.0000
0.2462 0.2462 0.2462
0.5055 0.5055 0.5055
0.7443 0.7443 0.7443
```

**Raw formation energy**: 410 meV per atom
**Size of the total moment**: 0.00 μB per formula unit
**Energy above the lowest structure with this stoichiometry**: 0.348 eV per atom



(5)
The following is a GGA-PBE calculation of a relaxed structure of TaRu3Br, from Alexandria via LeMat-Bulk.

POSCAR file:
```
TaRu3Br
1.0
4.8403 0.0000 0.0000
0.0000 4.8403 0.0000
0.0000 0.0000 4.8403
Ta Ru Br
1 3 1
Direct
0.0000 0.0000 0.0000
0.0000 0.0000 0.5000
0.0000 0.5000 0.0000
0.5000 0.0000 0.0000
0.5000 0.5000 0.5000
```

**Raw formation energy**: 1656 meV per atom
**Size of the total moment**: 4.12 μB per formula unit
**Energy above the lowest structure with this stoichiometry**: 0.121 eV per atom



(6)
The following is a GGA-PBE calculation of a relaxed structure of TaRu2Br, from Alexandria via LeMat-Bulk.

POSCAR file:
```
TaRu2Br
1.0
0.0000 3.2111 3.2111
3.2111 0.0000 3.2111
3.2111 3.2111 0.0000
Ta Ru Br
1 2 1
Direct
0.0000 0.0000 0.0000
0.2500 0.2500 0.2500
0.7500 0.7500 0.7500
0.5000 0.5000 0.5000
```

**Raw formation energy**: 719 meV per atom
**Size of the total moment**: 0.00 μB per formula unit
**Energy above the lowest structure with this stoichiometry**: 0.657 eV per atom



(7)
The following is a GGA-PBE calculation of a relaxed structure of TaRu2Br, from Alexandria via LeMat-Bulk.

POSCAR file:
```
TaRu2Br
1.0
1.5604 0.9009 8.2635
-1.5604 0.9009 8.2635
0.0000 -1.8018 8.2635
Ta Ru Br
1 2 1
Direct
0.0000 0.0000 0.0000
0.2560 0.2560 0.2560
0.7440 0.7440 0.7440
0.5000 0.5000 0.5000
```

**Raw formation energy**: 268 meV per atom
**Size of the total moment**: 0.00 μB per formula unit
**Energy above the lowest structure with this stoichiometry**: 0.206 eV per atom



(8)
The following is a GGA-PBE calculation of a relaxed structure of TaRuBr2, from Alexandria via LeMat-Bulk.

POSCAR file:
```
TaRuBr2
1.0
-2.9415 2.9415 5.4685
2.9415 -2.9415 5.4685
2.9415 2.9415 -5.4685
Ta Ru Br
2 2 4
Direct
0.0000 0.0000 0.0000
0.7500 0.2500 0.5000
0.2500 0.7500 0.5000
0.5000 0.5000 0.0000
0.1348 0.6250 0.0098
0.3750 0.3848 0.5098
0.6152 0.1250 0.9902
0.8750 0.8652 0.4902
```

**Raw formation energy**: 1113 meV per atom
**Size of the total moment**: 0.40 μB per formula unit
**Energy above the lowest structure with this stoichiometry**: 1.354 eV per atom



(9)
The following is a GGA-PBE calculation of a relaxed structure of Ta2Ru4Br, from Alexandria via LeMat-Bulk.

POSCAR file:
```
Ta2Ru4Br
1.0
-2.2538 2.2538 6.5000
2.2538 -2.2538 6.5000
2.2538 2.2538 -6.5000
Ta Ru Br
2 4 1
Direct
0.1337 0.1337 0.0000
0.8663 0.8663 0.0000
0.0000 0.5000 0.5000
0.3109 0.3109 0.0000
0.5000 0.0000 0.5000
0.6891 0.6891 0.0000
0.5000 0.5000 0.0000
```

**Raw formation energy**: 1270 meV per atom
**Size of the total moment**: 0.00 μB per formula unit



(10)
The following is a GGA-PBE calculation of a relaxed structure of Ta2RuBr, from Alexandria via LeMat-Bulk.

POSCAR file:
```
Ta2RuBr
1.0
-1.5875 2.3069 4.6492
1.5875 -2.3069 4.6492
1.5875 2.3069 -4.6492
Ta Ru Br
2 1 1
Direct
0.2467 0.2467 0.0000
0.7533 0.7533 0.0000
0.5000 0.0000 0.5000
0.0000 0.5000 0.5000
```

**Raw formation energy**: 546 meV per atom
**Size of the total moment**: 0.00 μB per formula unit
**Energy above the lowest structure with this stoichiometry**: 0.507 eV per atom



(11)
The following is a GGA-PBE calculation of a relaxed structure of TaRuBr2, from Alexandria via LeMat-Bulk.

POSCAR file:
```
TaRuBr2
1.0
0.0000 3.2412 3.2412
3.2412 0.0000 3.2412
3.2412 3.2412 0.0000
Ta Ru Br
1 1 2
Direct
0.0000 0.0000 0.0000
0.5000 0.5000 0.5000
0.2500 0.2500 0.2500
0.7500 0.7500 0.7500
```

**Raw formation energy**: 873 meV per atom
**Size of the total moment**: 0.00 μB per formula unit
**Energy above the lowest structure with this stoichiometry**: 1.114 eV per atom



(12)
The following is a GGA-PBE calculation of a relaxed structure of TaRuBr2, from Alexandria via LeMat-Bulk.

POSCAR file:
```
TaRuBr2
1.0
-2.6070 2.6070 2.7175
2.6070 -2.6070 2.7175
2.6070 2.6070 -2.7175
Ta Ru Br
1 1 2
Direct
0.0000 0.0000 0.0000
0.2500 0.7500 0.5000
0.5000 0.5000 0.0000
0.7500 0.2500 0.5000
```

**Raw formation energy**: 752 meV per atom
**Size of the total moment**: 0.00 μB per formula unit
**Energy above the lowest structure with this stoichiometry**: 0.993 eV per atom



(13)
The following is a GGA-PBE calculation of a relaxed structure of TaRuBr, from Alexandria via LeMat-Bulk.

POSCAR file:
```
TaRuBr
1.0
3.4391 0.0000 0.0000
-1.7196 2.9784 0.0000
0.0000 0.0000 6.1519
Ta Ru Br
1 1 1
Direct
0.0000 0.0000 0.0000
0.3333 0.6667 0.7656
0.6667 0.3333 0.3464
```

**Raw formation energy**: -14 meV per atom
**Size of the total moment**: 0.00 μB per formula unit
**Energy above the lowest structure with this stoichiometry**: 0.000 eV per atom



(14)
The following is a GGA-PBE calculation of a relaxed structure of TaRu2Br, from Alexandria via LeMat-Bulk.

POSCAR file:
```
TaRu2Br
1.0
1.4923 -2.5426 0.0000
1.4923 2.5426 0.0000
0.0000 0.0000 9.0572
Ta Ru Br
1 2 1
Direct
0.0000 0.0000 0.0000
0.0000 0.0000 0.5241
0.5000 0.5000 0.7616
0.5000 0.5000 0.2573
```

**Raw formation energy**: 680 meV per atom
**Size of the total moment**: 1.17 μB per formula unit
**Energy above the lowest structure with this stoichiometry**: 0.618 eV per atom



(15)
The following is a GGA-PBE calculation of a relaxed structure of Ta2RuBr, from Alexandria via LeMat-Bulk.

POSCAR file:
```
Ta2RuBr
1.0
1.5254 0.8807 8.7561
-1.5254 0.8807 8.7561
0.0000 -1.7614 8.7561
Ta Ru Br
2 1 1
Direct
0.2454 0.2454 0.2454
0.7546 0.7546 0.7546
0.5000 0.5000 0.5000
0.0000 0.0000 0.0000
```

**Raw formation energy**: 262 meV per atom
**Size of the total moment**: 0.00 μB per formula unit
**Energy above the lowest structure with this stoichiometry**: 0.223 eV per atom



(16)
The following is a GGA-PBE calculation of a relaxed structure of Ta2RuBr, from Alexandria via LeMat-Bulk.

POSCAR file:
```
Ta2RuBr
1.0
-2.4814 2.4814 2.7893
2.4814 -2.4814 2.7893
2.4814 2.4814 -2.7893
Ta Ru Br
2 1 1
Direct
0.2500 0.7500 0.5000
0.7500 0.2500 0.5000
0.0000 0.0000 0.0000
0.5000 0.5000 0.0000
```

**Raw formation energy**: 517 meV per atom
**Size of the total moment**: 0.00 μB per formula unit
**Energy above the lowest structure with this stoichiometry**: 0.478 eV per atom



(17)
The following is a GGA-PBE calculation of a relaxed structure of Ta2RuBr, from Alexandria via LeMat-Bulk.

POSCAR file:
```
Ta2RuBr
1.0
-3.5665 3.5665 2.9342
3.5665 -3.5665 2.9342
3.5665 3.5665 -2.9342
Ta Ru Br
4 2 2
Direct
0.1124 0.6250 0.9874
0.3750 0.3624 0.4874
0.6376 0.1250 0.0126
0.8750 0.8876 0.5126
0.0000 0.0000 0.0000
0.7500 0.2500 0.5000
0.2500 0.7500 0.5000
0.5000 0.5000 0.0000
```

**Raw formation energy**: 719 meV per atom
**Size of the total moment**: 0.00 μB per formula unit
**Energy above the lowest structure with this stoichiometry**: 0.680 eV per atom



(18)
The following is a GGA-PBE calculation of a relaxed structure of TaRu2Br, from Alexandria via LeMat-Bulk.

POSCAR file:
```
TaRu2Br
1.0
0.0000 3.1836 3.1836
3.1836 0.0000 3.1836
3.1836 3.1836 0.0000
Ta Ru Br
1 2 1
Direct
0.0000 0.0000 0.0000
0.2500 0.2500 0.2500
0.5000 0.5000 0.5000
0.7500 0.7500 0.7500
```

**Raw formation energy**: 761 meV per atom
**Size of the total moment**: 0.00 μB per formula unit
**Energy above the lowest structure with this stoichiometry**: 0.699 eV per atom



(19)
The following is a GGA-PBE calculation of a relaxed structure of TaRu2Br, from Alexandria via LeMat-Bulk.

POSCAR file:
```
TaRu2Br
1.0
1.6069 -2.5309 0.0000
1.6069 2.5309 0.0000
0.0000 0.0000 8.6149
Ta Ru Br
1 2 1
Direct
0.0000 0.0000 0.0000
0.5000 0.5000 0.2284
0.5000 0.5000 0.7716
0.0000 0.0000 0.5000
```

**Raw formation energy**: 405 meV per atom
**Size of the total moment**: 0.00 μB per formula unit
**Energy above the lowest structure with this stoichiometry**: 0.343 eV per atom



(20)
The following is a GGA-PBE calculation of a relaxed structure of TaZn2RuBr, from Alexandria via LeMat-Bulk.

POSCAR file:
```
TaZn2RuBr
1.0
4.6773 0.0000 0.0000
0.0000 4.6773 0.0000
0.0000 0.0000 4.6079
Ta Zn Ru Br
1 2 1 1
Direct
0.0000 0.0000 0.0000
0.0000 0.5000 0.5000
0.5000 0.0000 0.5000
0.5000 0.5000 0.0000
0.5000 0.5000 0.5000
```

**Raw formation energy**: 1608 meV per atom
**Size of the total moment**: 0.00 μB per formula unit



Number 1: total DFT energy (no corrections) -24.00 eV/cell. Number 2: total DFT energy (no corrections) -29.89 eV/cell. Number 3: total DFT energy (no corrections) -29.64 eV/cell. Number 4: total DFT energy (no corrections) -30.44 eV/cell. Number 5: total DFT energy (no corrections) -33.08 eV/cell. Number 6: total DFT energy (no corrections) -29.20 eV/cell. Number 7: total DFT energy (no corrections) -31.00 eV/cell. Number 8: total DFT energy (no corrections) -40.05 eV/cell. Number 9: total DFT energy (no corrections) -53.59 eV/cell. Number 10: total DFT energy (no corrections) -32.47 eV/cell. Number 11: total DFT energy (no corrections) -20.98 eV/cell. Number 12: total DFT energy (no corrections) -21.47 eV/cell. Number 13: total DFT energy (no corrections) -22.84 eV/cell. Number 14: total DFT energy (no corrections) -29.36 eV/cell. Number 15: total DFT energy (no corrections) -33.61 eV/cell. Number 16: total DFT energy (no corrections) -32.59 eV/cell. Number 17: total DFT energy (no corrections) -63.56 eV/cell. Number 18: total DFT energy (no corrections) -29.03 eV/cell. Number 19: total DFT energy (no corrections) -30.46 eV/cell. Number 20: total DFT energy (no corrections) -17.31 eV/cell.